Record 1
Entry from Alexandria: crystalline Ag2TeAs at its relaxed geometry (PBE).

a b c (Å): 7.0241 7.0241 7.0241
angles (deg): 90.00 90.00 90.00
Positions (direct):
Ag: 0.0000 0.0000 0.0000
Ag: 0.0000 0.5000 0.5000
Ag: 0.2500 0.2500 0.2500
Ag: 0.2500 0.7500 0.7500
Ag: 0.5000 0.0000 0.5000
Ag: 0.5000 0.5000 0.0000
Ag: 0.7500 0.2500 0.7500
Ag: 0.7500 0.7500 0.2500
Te: 0.2500 0.2500 0.7500
Te: 0.2500 0.7500 0.2500
Te: 0.7500 0.2500 0.2500
Te: 0.7500 0.7500 0.7500
As: 0.0000 0.0000 0.5000
As: 0.0000 0.5000 0.0000
As: 0.5000 0.0000 0.0000
As: 0.5000 0.5000 0.5000

## Properties
Uncorrected formation energy   1.5 eV/f.u.
Space group   No. 216
E above lowest polymorph   0.2762 eV per atom
Mass density   8.0 g/cm³

***

Record 2
Entry from Alexandria: crystalline InAu at its relaxed geometry (PBE).

a b c (Å): 3.8517 3.8517 3.6356
angles (deg): 90.00 90.00 120.00
Positions (direct):
In: 0.0000 0.0000 0.0000
Au: 0.6667 0.3333 0.5000

## Properties
Space group   No. 187
ΔE_f   -0.12 eV per atom
Mass density   11.1 g/cm³

***

Record 3
Entry from Alexandria: crystalline HoMgCoAg at its relaxed geometry (PBE).

a b c (Å): 6.7058 6.7058 6.7058
angles (deg): 90.00 90.00 90.00
Positions (direct):
Ho: 0.0000 0.0000 0.0000
Ho: 0.0000 0.5000 0.5000
Ho: 0.5000 0.0000 0.5000
Ho: 0.5000 0.5000 0.0000
Mg: 0.0000 0.0000 0.5000
Mg: 0.0000 0.5000 0.0000
Mg: 0.5000 0.0000 0.0000
Mg: 0.5000 0.5000 0.5000
Co: 0.2500 0.2500 0.7500
Co: 0.2500 0.7500 0.2500
Co: 0.7500 0.2500 0.2500
Co: 0.7500 0.7500 0.7500
Ag: 0.2500 0.2500 0.2500
Ag: 0.2500 0.7500 0.7500
Ag: 0.7500 0.2500 0.7500
Ag: 0.7500 0.7500 0.2500

## Properties
Space group   No. 216
ΔE_f   -0.07 eV per atom
Mass density   7.8 g/cm³

***

Record 4
Entry from Alexandria: crystalline Ca4MgIr at its relaxed geometry (PBE).

a b c (Å): 8.2856 8.2856 6.2913
angles (deg): 100.94 100.94 112.07
Positions (direct):
Ca: 0.0589 0.7294 0.9440
Ca: 0.1957 0.3465 0.6341
Ca: 0.2706 0.9411 0.5560
Ca: 0.3465 0.1957 0.1341
Ca: 0.6535 0.8043 0.8659
Ca: 0.7294 0.0589 0.4440
Ca: 0.8043 0.6535 0.3659
Ca: 0.9411 0.2706 0.0560
Mg: 0.3756 0.6244 0.2500
Mg: 0.6244 0.3756 0.7500
Ir: 0.9995 0.0005 0.2500
Ir: 0.0005 0.9995 0.7500

## Properties
Space group   No. 15
ΔE_f   -0.22 eV per atom
E above lowest polymorph   0.0000 eV per atom
Mass density   3.3 g/cm³

***

Record 5
Entry from Alexandria: crystalline BaSr12Hg6 at its relaxed geometry (PBE).

a b c (Å): 10.2550 10.2550 10.2550
angles (deg): 109.47 109.47 109.47
Positions (direct):
Ba: 0.0000 0.0000 0.0000
Sr: 0.1213 0.8169 0.3044
Sr: 0.1831 0.3044 0.4875
Sr: 0.1831 0.6956 0.8787
Sr: 0.3044 0.1213 0.8169
Sr: 0.3044 0.4875 0.1831
Sr: 0.4875 0.1831 0.3044
Sr: 0.5125 0.8169 0.6956
Sr: 0.6956 0.5125 0.8169
Sr: 0.6956 0.8787 0.1831
Sr: 0.8169 0.3044 0.1213
Sr: 0.8169 0.6956 0.5125
Sr: 0.8787 0.1831 0.6956
Hg: 0.1273 0.6273 0.5000
Hg: 0.3727 0.5000 0.8727
Hg: 0.5000 0.1273 0.6273
Hg: 0.5000 0.8727 0.3727
Hg: 0.6273 0.5000 0.1273
Hg: 0.8727 0.3727 0.5000

## Properties
Space group   No. 204
ΔE_f   -0.29 eV per atom
E above lowest polymorph   0.0000 eV per atom
Mass density   4.8 g/cm³

***

Record 6
Entry from Alexandria: crystalline SbTeH at its relaxed geometry (PBE).

a b c (Å): 5.2264 6.2059 6.7384
angles (deg): 62.99 67.82 89.96
Positions (direct):
Sb: 0.0000 0.0000 0.0000
Sb: 0.3554 0.8564 0.2908
Te: 0.0115 0.5154 0.9729
Te: 0.4035 0.4046 0.1946
H: 0.6548 0.9949 0.6755
H: 0.7312 0.0112 0.5477

## Properties
Space group   No. 1
E above lowest polymorph   0.0325 eV per atom
Mass density   4.7 g/cm³

***

Record 7
Entry from Alexandria: crystalline Pr3Zn3Ga8 at its relaxed geometry (PBE).

a b c (Å): 8.4261 8.4261 9.9485
angles (deg): 125.79 125.79 29.96
Positions (direct):
Pr: 0.0000 0.0000 0.0000
Pr: 0.3185 0.3185 0.3211
Pr: 0.6815 0.6815 0.6789
Zn: 0.0000 0.0000 0.5000
Zn: 0.3368 0.3368 0.7036
Zn: 0.6632 0.6632 0.2964
Ga: 0.1460 0.1460 0.4171
Ga: 0.1483 0.1483 0.8756
Ga: 0.3406 0.3406 0.9610
Ga: 0.4998 0.4998 0.2842
Ga: 0.5002 0.5002 0.7158
Ga: 0.6594 0.6594 0.0390
Ga: 0.8517 0.8517 0.1244
Ga: 0.8540 0.8540 0.5829

## Properties
Space group   No. 12
ΔE_f   -0.48 eV per atom
E above lowest polymorph   0.0000 eV per atom
Mass density   7.0 g/cm³

***

Record 8
Entry from Alexandria: crystalline Ac13Nd3 at its relaxed geometry (PBE).

a b c (Å): 11.2104 7.8578 7.8578
angles (deg): 89.78 90.00 90.00
Positions (direct):
Ac: 0.0000 0.0000 0.0000
Ac: 0.0000 0.9998 0.4930
Ac: 0.0000 0.4930 0.9998
Ac: 0.0000 0.4929 0.4929
Ac: 0.2525 0.7475 0.7475
Ac: 0.2528 0.2440 0.7486
Ac: 0.2528 0.7486 0.2440
Ac: 0.5000 0.9997 0.4902
Ac: 0.5000 0.4902 0.9997
Ac: 0.5000 0.4927 0.4927
Ac: 0.7472 0.2440 0.7486
Ac: 0.7472 0.7486 0.2440
Ac: 0.7475 0.7475 0.7475
Nd: 0.2531 0.2439 0.2439
Nd: 0.5000 0.9993 0.9993
Nd: 0.7469 0.2439 0.2439

## Properties
Space group   No. 38
ΔE_f   0.03 eV per atom
Mass density   8.1 g/cm³

***

Record 9
Entry from Alexandria: crystalline CaTa2Cr at its relaxed geometry (PBE).

a b c (Å): 3.0799 5.1286 9.8515
angles (deg): 90.00 90.00 90.00
Positions (direct):
Ca: 0.0000 0.0000 0.0000
Ca: 0.5000 0.5000 0.5000
Ta: 0.0000 0.5000 0.2094
Ta: 0.0000 0.5000 0.7906
Ta: 0.5000 0.0000 0.2906
Ta: 0.5000 0.0000 0.7094
Cr: 0.0000 0.0000 0.5000
Cr: 0.5000 0.5000 0.0000

## Properties
Space group   No. 71
ΔE_f   0.58 eV per atom
E above lowest polymorph   0.1110 eV per atom
Mass density   9.7 g/cm³

***

Record 10
Entry from Alexandria: crystalline Rb2SnHCl6 at its relaxed geometry (PBE).

a b c (Å): 7.3406 7.3406 7.3406
angles (deg): 112.56 112.56 103.45
Positions (direct):
Rb: 0.2500 0.7500 0.5000
Rb: 0.7500 0.2500 0.5000
Sn: 0.0000 0.0000 0.0000
H: 0.5000 0.5000 0.0000
Cl: 0.2228 0.2228 0.4456
Cl: 0.2228 0.7772 0.0000
Cl: 0.3252 0.3252 0.0000
Cl: 0.6748 0.6748 0.0000
Cl: 0.7772 0.2228 0.0000
Cl: 0.7772 0.7772 0.5544

## Properties
Space group   No. 139
VASP energy   -32.3 eV/cell
Mass density   2.8 g/cm³

***

Record 11
Entry from Alexandria: crystalline In2RuW at its relaxed geometry (PBE).

a b c (Å): 9.4227 3.0140 5.1500
angles (deg): 90.00 101.98 90.00
Positions (direct):
In: 0.2448 0.0000 0.2429
In: 0.2552 0.5000 0.7571
In: 0.7448 0.5000 0.2429
In: 0.7552 0.0000 0.7571
Ru: 0.0000 0.5000 0.0000
Ru: 0.5000 0.0000 0.0000
W: 0.0000 0.0000 0.5000
W: 0.5000 0.5000 0.5000

## Properties
Space group   No. 12
ΔE_f   0.50 eV per atom
E above lowest polymorph   0.3056 eV per atom
Mass density   11.9 g/cm³

***

Record 12
Entry from Alexandria: crystalline Pr3YHo5 at its relaxed geometry (PBE).

a b c (Å): 9.5723 9.5723 10.0877
angles (deg): 121.61 121.61 72.48
Positions (direct):
Pr: 0.0000 0.0000 0.0000
Pr: 0.0091 0.0091 0.3083
Pr: 0.4756 0.4756 0.1362
Pr: 0.5000 0.5000 0.5000
Pr: 0.5244 0.5244 0.8638
Pr: 0.9909 0.9909 0.6917
Y: 0.2531 0.2531 0.1018
Y: 0.7469 0.7469 0.8982
Ho: 0.0892 0.5890 0.7449
Ho: 0.2164 0.2164 0.7240
Ho: 0.2421 0.7579 0.5000
Ho: 0.2787 0.2787 0.4658
Ho: 0.4110 0.9108 0.2551
Ho: 0.5890 0.0892 0.7449
Ho: 0.7213 0.7213 0.5342
Ho: 0.7579 0.2421 0.5000
Ho: 0.7836 0.7836 0.2760
Ho: 0.9108 0.4110 0.2551

## Properties
Space group   No. 12
ΔE_f   0.53 eV per atom
Mass density   6.6 g/cm³

***

Record 13
Entry from Alexandria: crystalline Ta2AgPt2 at its relaxed geometry (PBE).

a b c (Å): 8.0400 8.0400 2.7921
angles (deg): 90.00 90.00 90.00
Positions (direct):
Ta: 0.1242 0.3758 0.0000
Ta: 0.3758 0.8758 0.0000
Ta: 0.6242 0.1242 0.0000
Ta: 0.8758 0.6242 0.0000
Ag: 0.0000 0.0000 0.0000
Ag: 0.5000 0.5000 0.0000
Pt: 0.1690 0.6690 0.5000
Pt: 0.3310 0.1690 0.5000
Pt: 0.6690 0.8310 0.5000
Pt: 0.8310 0.3310 0.5000

## Properties
Space group   No. 127
ΔE_f   -0.25 eV per atom
E above lowest polymorph   0.1105 eV per atom
Mass density   15.8 g/cm³

***

Record 14
Entry from Alexandria: crystalline CuMo2Pt at its relaxed geometry (PBE).

a b c (Å): 3.2476 3.2476 5.6997
angles (deg): 90.00 90.00 90.00
Positions (direct):
Cu: 0.0000 0.0000 0.0000
Mo: 0.0000 0.0000 0.4915
Mo: 0.5000 0.5000 0.2502
Pt: 0.5000 0.5000 0.7739

## Properties
Space group   No. 99
ΔE_f   0.01 eV per atom
E above lowest polymorph   0.0679 eV per atom
Mass density   12.4 g/cm³

***

Record 15
Entry from Alexandria: crystalline CsLi2Cu2 at its relaxed geometry (PBE).

a b c (Å): 8.2437 8.2437 3.3729
angles (deg): 90.00 90.00 90.00
Positions (direct):
Cs: 0.0000 0.0000 0.0000
Cs: 0.5000 0.5000 0.0000
Li: 0.1359 0.3641 0.0000
Li: 0.3641 0.8641 0.0000
Li: 0.6359 0.1359 0.0000
Li: 0.8641 0.6359 0.0000
Cu: 0.1105 0.6105 0.5000
Cu: 0.3895 0.1105 0.5000
Cu: 0.6105 0.8895 0.5000
Cu: 0.8895 0.3895 0.5000

## Properties
Space group   No. 127
ΔE_f   0.32 eV per atom
E above lowest polymorph   0.0452 eV per atom
Mass density   4.0 g/cm³

***

Record 16
Entry from Alexandria: crystalline LaIn at its relaxed geometry (PBE).

a b c (Å): 9.6318 9.6318 9.6318
angles (deg): 90.00 90.00 90.00
Positions (direct):
La: 0.1992 0.1992 0.8008
La: 0.1992 0.8008 0.1992
La: 0.3008 0.3008 0.3008
La: 0.3008 0.6992 0.6992
La: 0.6992 0.3008 0.6992
La: 0.6992 0.6992 0.3008
La: 0.8008 0.1992 0.1992
La: 0.8008 0.8008 0.8008
In: 0.1149 0.1149 0.1149
In: 0.1149 0.8851 0.8851
In: 0.3851 0.3851 0.6149
In: 0.3851 0.6149 0.3851
In: 0.6149 0.3851 0.3851
In: 0.6149 0.6149 0.6149
In: 0.8851 0.1149 0.8851
In: 0.8851 0.8851 0.1149

## Properties
Space group   No. 217
ΔE_f   0.42 eV per atom
Mass density   3.8 g/cm³

***

Record 17
Entry from Alexandria: crystalline PmNd3Sb4 at its relaxed geometry (PBE).

a b c (Å): 9.0321 12.7732 4.5192
angles (deg): 90.00 90.00 90.00
Positions (direct):
Pm: 0.0000 0.0000 0.0000
Pm: 0.5000 0.5000 0.0000
Nd: 0.0000 0.5000 0.0000
Nd: 0.2500 0.2500 0.5000
Nd: 0.2500 0.7500 0.5000
Nd: 0.5000 0.0000 0.0000
Nd: 0.7500 0.2500 0.5000
Nd: 0.7500 0.7500 0.5000
Sb: 0.0000 0.2493 0.0000
Sb: 0.0000 0.7507 0.0000
Sb: 0.2487 0.0000 0.5000
Sb: 0.2513 0.5000 0.5000
Sb: 0.5000 0.2507 0.0000
Sb: 0.5000 0.7493 0.0000
Sb: 0.7487 0.5000 0.5000
Sb: 0.7513 0.0000 0.5000

## Properties
Uncorrected formation energy   -9.5 eV/f.u.
Space group   No. 65
E above lowest polymorph   0.0052 eV per atom
Mass density   6.8 g/cm³

***

Record 18
Entry from Alexandria: crystalline Sm12In3H5 at its relaxed geometry (PBE).

a b c (Å): 13.8373 13.8373 13.8373
angles (deg): 109.47 109.47 109.47
Positions (direct):
Sm: 0.0135 0.2053 0.1088
Sm: 0.0135 0.3082 0.9046
Sm: 0.0954 0.6088 0.4035
Sm: 0.0954 0.9865 0.6918
Sm: 0.0965 0.7053 0.6918
Sm: 0.0965 0.8912 0.4046
Sm: 0.1088 0.0135 0.2053
Sm: 0.1088 0.5954 0.9035
Sm: 0.1918 0.2053 0.5965
Sm: 0.1918 0.4865 0.5954
Sm: 0.2053 0.1088 0.0135
Sm: 0.2053 0.5965 0.1918
Sm: 0.2947 0.3082 0.9035
Sm: 0.2947 0.4865 0.3912
Sm: 0.3082 0.9035 0.2947
Sm: 0.3082 0.9046 0.0135
Sm: 0.3912 0.2947 0.4865
Sm: 0.3912 0.5965 0.9046
Sm: 0.4035 0.0954 0.6088
Sm: 0.4035 0.8082 0.7947
Sm: 0.4046 0.0965 0.8912
Sm: 0.4046 0.8082 0.5135
Sm: 0.4865 0.3912 0.2947
Sm: 0.4865 0.5954 0.1918
Sm: 0.5135 0.4046 0.8082
Sm: 0.5135 0.6088 0.7053
Sm: 0.5954 0.1918 0.4865
Sm: 0.5954 0.9035 0.1088
Sm: 0.5965 0.1918 0.2053
Sm: 0.5965 0.9046 0.3912
Sm: 0.6088 0.4035 0.0954
Sm: 0.6088 0.7053 0.5135
Sm: 0.6918 0.0954 0.9865
Sm: 0.6918 0.0965 0.7053
Sm: 0.7053 0.5135 0.6088
Sm: 0.7053 0.6918 0.0965
Sm: 0.7947 0.4035 0.8082
Sm: 0.7947 0.8912 0.9865
Sm: 0.8082 0.5135 0.4046
Sm: 0.8082 0.7947 0.4035
Sm: 0.8912 0.4046 0.0965
Sm: 0.8912 0.9865 0.7947
Sm: 0.9035 0.1088 0.5954
Sm: 0.9035 0.2947 0.3082
Sm: 0.9046 0.0135 0.3082
Sm: 0.9046 0.3912 0.5965
Sm: 0.9865 0.6918 0.0954
Sm: 0.9865 0.7947 0.8912
In: 0.1250 0.2500 0.3750
In: 0.1250 0.3750 0.7500
In: 0.2500 0.3750 0.1250
In: 0.2500 0.8750 0.6250
In: 0.3750 0.1250 0.2500
In: 0.3750 0.7500 0.1250
In: 0.6250 0.2500 0.8750
In: 0.6250 0.8750 0.7500
In: 0.7500 0.1250 0.3750
In: 0.7500 0.6250 0.8750
In: 0.8750 0.6250 0.2500
In: 0.8750 0.7500 0.6250
H: 0.0000 0.0000 0.0000
H: 0.0000 0.0000 0.5000
H: 0.0000 0.5000 0.0000
H: 0.0000 0.5000 0.5000
H: 0.1250 0.7500 0.8750
H: 0.1250 0.8750 0.2500
H: 0.2500 0.1250 0.8750
H: 0.2500 0.6250 0.3750
H: 0.3750 0.2500 0.6250
H: 0.3750 0.6250 0.7500
H: 0.5000 0.0000 0.0000
H: 0.5000 0.0000 0.5000
H: 0.5000 0.5000 0.0000
H: 0.5000 0.5000 0.5000
H: 0.6250 0.3750 0.2500
H: 0.6250 0.7500 0.3750
H: 0.7500 0.3750 0.6250
H: 0.7500 0.8750 0.1250
H: 0.8750 0.1250 0.7500
H: 0.8750 0.2500 0.1250

## Properties
Space group   No. 230
VASP energy   -345.5 eV/cell
Mass density   7.0 g/cm³

***

Record 19
Entry from Alexandria: crystalline Sr4Sn2Hg at its relaxed geometry (PBE).

a b c (Å): 9.8542 9.8542 9.8542
angles (deg): 33.63 33.63 33.63
Positions (direct):
Sr: 0.1245 0.1245 0.1245
Sr: 0.3748 0.3748 0.3748
Sr: 0.6252 0.6252 0.6252
Sr: 0.8755 0.8755 0.8755
Sn: 0.2488 0.2488 0.2488
Sn: 0.7512 0.7512 0.7512
Hg: 0.0000 0.0000 0.0000

## Properties
Space group   No. 166
ΔE_f   -0.63 eV per atom
Mass density   5.0 g/cm³

***

Record 20
Entry from Alexandria: crystalline Rb2CeTe6 at its relaxed geometry (PBE).

a b c (Å): 10.4911 10.4911 6.0794
angles (deg): 98.41 98.41 35.17
Positions (direct):
Rb: 0.1894 0.1894 0.2142
Rb: 0.8106 0.8106 0.7858
Ce: 0.5000 0.5000 0.5000
Te: 0.1249 0.6114 0.3138
Te: 0.2687 0.7313 0.0000
Te: 0.3886 0.8751 0.6862
Te: 0.6114 0.1249 0.3138
Te: 0.7313 0.2687 0.0000
Te: 0.8751 0.3886 0.6862

## Properties
Uncorrected formation energy   -6.4 eV/f.u.
Space group   No. 12
Mass density   4.7 g/cm³